DFT (PBE-GGA) results for a relaxed structure of IrCSe2N.

abc: 4.649 4.649 3.764
angles: 90.00 90.00 90.00
Atoms (fractional coordinates):
1 Ir 0.000 0.000 0.000
2 C 0.500 0.500 0.000
3 Se 0.000 0.500 0.500
4 Se 0.500 0.000 0.500
5 N 0.000 0.000 0.500

Output
The value obtained for the uncorrected formation energy is 2.10 eV per atom. As for the magnetic moment: 0.00 Bohr magnetons per cell. For the total energy, the calculation gives -4.57 eV/atom.